Entry from the Alexandria database: a relaxed YZnGa3 crystal (PBE).

Output
- D(E_F): 1.414 states/eV/atom
- Crystal system: cubic
- Total DFT energy (no corrections): -2.58 eV per atom
- DFT formation energy: 0.78 eV/atom

abc: 5.6299 5.6299 5.6299
angles: 90.00 90.00 90.00
Space group Pm-3m (No. 221)
Inequivalent atoms, fractional coordinates:
Y (0.0000, 0.0000, 0.0000) [1 per cell]
Zn (0.5000, 0.5000, 0.5000) [1 per cell]
Ga (0.0000, 0.0000, 0.5000) [3 per cell]